{"formula": "LiFeAgB", "functional": "PBE", "state": "optimized geometry", "space_group": "F-43m, No. 216", "dft_energy_ev_per_cell": -69.48, "relative_energy_mev_per_atom": 120.3, "lattice_angstrom": [[5.7603, 0.0000, 0.0000], [0.0000, 5.7603, 0.0000], [0.0000, 0.0000, 5.7603]], "species": ["Li", "Li", "Li", "Li", "Fe", "Fe", "Fe", "Fe", "Ag", "Ag", "Ag", "Ag", "B", "B", "B", "B"], "fractional_positions": [[0.0000, 0.0000, 0.0000], [0.0000, 0.5000, 0.5000], [0.5000, 0.0000, 0.5000], [0.5000, 0.5000, 0.0000], [0.0000, 0.0000, 0.5000], [0.0000, 0.5000, 0.0000], [0.5000, 0.0000, 0.0000], [0.5000, 0.5000, 0.5000], [0.2500, 0.2500, 0.7500], [0.2500, 0.7500, 0.2500], [0.7500, 0.2500, 0.2500], [0.7500, 0.7500, 0.7500], [0.2500, 0.2500, 0.2500], [0.2500, 0.7500, 0.7500], [0.7500, 0.2500, 0.7500], [0.7500, 0.7500, 0.2500]]}